# 1
Compound: LiHfTc2C
Source: Alexandria via LeMat-Bulk
Functional: PBE
Structure: optimized geometry

Computed properties:
VASP energy	-27.6	eV/f.u.
size of the total moment	0.00	μB per formula unit

a b c (Å): 4.6763 4.8695 4.6763
angles (deg): 90.00 90.00 90.00
Last column: nearest neighbours and their distance in Å.
Sites, in units of the cell vectors:
C 0.5000 0.5000 0.5000  4 Li 3.31, 8 Tc 3.38
Hf 0.0000 0.0000 0.0000  4 Tc 2.34, 2 Li 2.43
Tc 0.0000 0.0000 0.5000  2 Hf 2.34
Tc 0.5000 0.0000 0.0000  2 Hf 2.34
Li 0.0000 0.5000 0.0000  2 Hf 2.43

# 2
Compound: LuHf3C
Source: Alexandria via LeMat-Bulk
Functional: PBE
Structure: optimized geometry

Computed properties:
VASP energy	-44.5	eV/f.u.
size of the total moment	0.00	μB per formula unit

a b c (Å): 4.6296 4.6296 4.6296
angles (deg): 90.00 90.00 90.00
Last column: nearest neighbours and their distance in Å.
Sites, in units of the cell vectors:
C 0.0000 0.0000 0.0000  6 Hf 2.31
Lu 0.5000 0.5000 0.5000  12 Hf 3.27
Hf 0.0000 0.5000 0.0000  2 C 2.31
Hf 0.0000 0.0000 0.5000  2 C 2.31
Hf 0.5000 0.0000 0.0000  2 C 2.31

# 3
Compound: Lu2HfC
Source: Alexandria via LeMat-Bulk
Functional: PBE
Structure: optimized geometry

Computed properties:
VASP energy	-28.0	eV/f.u.
size of the total moment	0.00	μB per formula unit

a b c (Å): 3.3521 3.3521 9.2688
angles (deg): 79.58 79.58 60.00
Last column: nearest neighbours and their distance in Å.
Sites, in units of the cell vectors:
C 0.5000 0.5000 0.5000  6 Lu 2.34
Lu 0.1180 0.1180 0.6460  3 C 2.34
Lu 0.8820 0.8820 0.3540  3 C 2.34
Hf 0.0000 0.0000 0.0000  2 Lu 3.21, 6 Hf 3.35

# 4
Compound: LuHfC2
Source: Alexandria via LeMat-Bulk
Functional: PBE
Structure: optimized geometry

Computed properties:
VASP energy	-35.1	eV/f.u.
size of the total moment	0.00	μB per formula unit

a b c (Å): 3.3609 3.3609 5.9049
angles (deg): 73.47 73.47 60.00
Last column: nearest neighbours and their distance in Å.
Sites, in units of the cell vectors:
C 0.2559 0.2559 0.2322  3 Hf 2.33, 3 Lu 2.45
C 0.7441 0.7441 0.7678  3 Hf 2.33, 3 Lu 2.45
Lu 0.5000 0.5000 0.5000  6 C 2.45
Hf 0.0000 0.0000 0.0000  6 C 2.33